Material: Fe2SbPb
Method: DFT, PBEsol
State: optimized geometry

Cell: 4.512 4.646 4.646 Å, 60.95 60.95 60.95°
Each line ends with the local moment (μB).
Positions (direct):
Sb: 0.500 0.000 0.000  -0.03
Fe: 0.790 0.210 0.210  2.30
Fe: 0.210 0.790 0.790  2.30
Pb: 0.000 0.500 0.500  -0.04

Calculated total energy = -6.089 eV/atom
Mass density = 10.40 Mg/m³
Symmetry = No. 71
Spin magnetization = 4.45 μB/f.u.

***

Material: Cr2AgBiO8
Method: DFT, PBEsol
State: optimized geometry

Cell: 5.034 5.034 6.781 Å, 111.79 111.79 90.00°
Positions (direct):
O: 0.588 0.202 0.660
O: 0.946 0.323 0.154
O: 0.208 0.831 0.154
O: 0.677 0.792 0.846
O: 0.541 0.412 0.340
O: 0.169 0.054 0.846
O: 0.072 0.459 0.660
O: 0.798 0.928 0.340
Cr: 0.750 0.250 0.500
Cr: 0.000 0.000 0.000
Bi: 0.500 0.500 0.000
Ag: 0.250 0.750 0.500

Calculated total energy = -7.278 eV/atom
Mass density = 6.23 Mg/m³
Symmetry = No. 82
Spin magnetization = 0.00 μB/f.u.

***

Material: Nb2ReHPd
Method: DFT, PBEsol
State: optimized geometry

Cell: 3.159 4.957 4.957 Å, 90.00 90.00 90.00°
Positions (direct):
Nb: 0.000 0.500 0.000
Nb: 0.000 0.000 0.500
Re: 0.000 0.000 0.000
H: 0.500 0.000 0.000
Pd: 0.500 0.500 0.500

Calculated total energy = -8.078 eV/atom
Mass density = 10.26 Mg/m³
Symmetry = No. 123
Spin magnetization = 0.00 μB/f.u.

***

What did the first record say?
Material: Fe2SbPb
Method: DFT, PBEsol
State: optimized geometry

Cell: 4.512 4.646 4.646 Å, 60.95 60.95 60.95°
Each line ends with the local moment (μB).
Positions (direct):
Sb: 0.500 0.000 0.000  -0.03
Fe: 0.790 0.210 0.210  2.30
Fe: 0.210 0.790 0.790  2.30
Pb: 0.000 0.500 0.500  -0.04

Calculated total energy = -6.089 eV/atom
Mass density = 10.40 Mg/m³
Symmetry = No. 71
Spin magnetization = 4.45 μB/f.u.

***

> Among the records above, which one has the lowest calculated total energy?

Nb2ReHPd

***

> What is the spin magnetization in the first record?

4.45 μB/f.u.